Cd2S2I | PBE-GGA | relaxed

```
10
Lattice="-1.240 3.618 7.177 2.374 -3.458 6.001 5.021 3.344 4.632" Properties=species:S:1:pos:R:3 pbc="T T T"
Cd 0.014 1.080 5.201
Cd 0.944 3.386 9.085
Cd 6.140 2.424 12.610
Cd 5.211 0.119 8.725
S 1.340 1.599 7.319
S 3.345 -1.698 8.933
S 4.814 1.905 10.491
S 2.809 5.203 8.877
I 1.830 1.847 11.499
I 4.325 1.657 6.312
```

Formation energy (no corrections): -0.338 eV/atom



Nd6Ho3Sc | PBE-GGA | relaxed

```
20
Lattice="6.262 0.000 0.000 0.000 10.974 -1.677 0.000 -4.084 10.323" Properties=species:S:1:pos:R:3 pbc="T T T"
Nd 2.215 1.859 8.865
Nd 2.215 -1.336 4.856
Nd 3.396 1.639 3.409
Nd 4.100 0.079 7.005
Nd 0.969 6.811 1.640
Nd 5.769 -3.423 9.796
Nd 3.396 3.934 6.287
Nd 5.347 8.226 3.790
Nd 0.265 2.957 2.359
Nd 5.347 5.031 -0.219
Nd 2.638 10.313 -1.150
Nd 0.265 5.251 5.237
Ho 2.891 2.812 0.078
Ho 2.891 7.442 5.888
Ho 0.449 1.724 5.694
Ho 3.580 5.166 2.951
Ho 6.023 -0.552 2.758
Ho 6.023 4.078 8.568
Sc 0.766 -1.061 7.914
Sc 3.897 7.952 0.731
```

Formation energy from the elements: 13.35 kJ/mol of atoms
Distance to the lowest polymorph of the same formula: 0.0000 eV/atom



Ac2Tb4Sm3 | PBE-GGA | relaxed

```
9
Lattice="-1.406 -0.330 5.879 -7.273 1.985 -4.745 0.416 -6.480 -0.264" Properties=species:S:1:pos:R:3 pbc="T T T"
Tb -4.837 -5.131 1.672
Tb -6.938 0.173 -1.650
Tb -1.325 -4.999 2.520
Tb -3.426 0.306 -0.802
Sm 0.000 0.000 0.000
Sm -6.881 -1.581 1.382
Sm -1.382 -3.244 -0.513
Ac -4.997 -3.016 -1.365
Ac -3.266 -1.809 2.235
```

Formation energy from the elements: 11.52 kJ/mol of atoms
Distance to the lowest polymorph of the same formula: 0.0352 eV/atom



PmDy2Ga2 | PBE-GGA | relaxed

```
10
Lattice="-3.445 -2.636 0.567 1.565 -3.481 -6.678 4.475 -5.056 3.684" Properties=species:S:1:pos:R:3 pbc="T T T"
Dy 1.565 -5.330 1.605
Dy 1.030 -5.844 -4.033
Dy 3.029 -7.841 -1.173
Dy -0.434 -3.332 -1.255
Pm 3.020 -4.269 -1.497
Pm 0.000 0.000 0.000
Ga 4.542 -5.785 0.700
Ga 1.893 -2.342 0.614
Ga 1.498 -2.752 -3.694
Ga 4.147 -6.196 -3.609
```

Formation energy from the elements: -46.50 kJ/mol of atoms
Distance to the lowest polymorph of the same formula: 0.0000 eV/atom



AlAgPb | PBE-GGA | relaxed

```
12
Lattice="-1.579 4.198 -3.622 -2.985 1.461 2.995 7.566 6.580 4.329" Properties=species:S:1:pos:R:3 pbc="T T T"
Ag 4.700 7.712 2.592
Ag 2.887 8.922 0.195
Ag 0.114 3.318 3.508
Ag -1.698 4.527 1.112
Pb -1.137 5.154 -1.978
Pb 1.310 4.497 0.782
Pb 1.692 7.742 2.921
Pb 4.139 7.085 5.681
Al -0.929 2.484 -0.467
Al 1.139 7.068 -0.642
Al 1.862 5.172 4.345
Al 3.931 9.756 4.170
```

Formation energy from the elements: 13.29 kJ/mol of atoms



Fe2ReOs | PBE-GGA | relaxed

```
4
Lattice="-0.788 -4.033 1.981 3.693 -1.287 2.348 -2.381 3.891 -0.029" Properties=species:S:1:pos:R:3 pbc="T T T"
Fe 1.382 -0.028 2.242
Fe 0.000 0.000 0.000
Re -0.859 -1.401 2.058
Os 1.452 -2.660 2.165
```

Formation energy from the elements: 5.62 kJ/mol of atoms



Na3H7Pt2 | PBE-GGA | relaxed

```
12
Lattice="-2.752 1.087 -2.251 -0.460 -3.511 -1.133 -4.401 -0.157 8.376" Properties=species:S:1:pos:R:3 pbc="T T T"
H -5.324 -2.059 2.445
H -2.522 0.282 0.149
H 0.000 0.000 0.000
H -5.091 -2.864 4.844
H -2.290 -0.522 2.548
H -6.238 -0.565 4.285
H -1.376 -2.017 0.708
Na -1.606 -1.212 -1.692
Na -3.839 -0.875 4.273
Na -3.774 -1.706 0.720
Pt -1.173 -0.267 1.305
Pt -6.440 -2.314 3.688
```

Distance to the lowest polymorph of the same formula: 0.0000 eV/atom



CsKH2 | PBE-GGA | relaxed

```
8
Lattice="7.385 0.000 0.000 0.000 7.385 0.000 3.692 3.692 4.436" Properties=species:S:1:pos:R:3 pbc="T T T"
K 3.692 7.385 2.218
K 3.692 3.692 0.000
Cs 7.385 3.692 2.218
Cs 0.000 0.000 0.000
H 9.231 8.941 3.327
H 5.248 1.846 1.109
H 2.136 5.538 1.109
H 5.538 5.829 3.327
```

Distance to the lowest polymorph of the same formula: 0.0369 eV/atom



RbYBi2P | PBE-GGA | relaxed

```
5
Lattice="5.809 0.000 0.000 0.000 5.238 0.000 0.000 0.000 5.809" Properties=species:S:1:pos:R:3 pbc="T T T"
Bi 2.904 0.000 0.000
Bi 0.000 0.000 2.904
Rb 2.904 2.619 2.904
P 0.000 0.000 0.000
Y 0.000 2.619 0.000
```

Formation energy from the elements: -13.74 kJ/mol of atoms



BaSrFe2Br8 | PBE-GGA | relaxed

```
12
Lattice="6.906 0.000 0.000 -3.453 5.981 0.000 0.000 0.000 10.177" Properties=species:S:1:pos:R:3 pbc="T T T"
Br 2.358 4.071 7.207
Br 3.453 1.994 10.135
Br 2.202 0.006 7.207
Br -2.347 4.077 2.970
Br 1.095 1.910 2.970
Br 1.251 5.975 2.970
Br 5.800 1.904 7.207
Br 0.000 3.987 0.041
Ba 0.000 0.000 0.000
Sr 0.000 0.000 5.088
Fe 3.453 1.994 2.358
Fe 0.000 3.987 7.818
```

Formation energy (no corrections): -1.195 eV/atom



LaCeTlGa | PBE-GGA | relaxed

```
4
Lattice="5.433 0.000 0.000 2.717 4.705 0.000 2.717 1.568 4.436" Properties=species:S:1:pos:R:3 pbc="T T T"
Tl 8.150 4.705 3.327
Ga 2.717 1.568 1.109
Ce 5.433 3.137 2.218
La 0.000 0.000 0.000
```

Formation energy from the elements: -35.05 kJ/mol of atoms
Distance to the lowest polymorph of the same formula: 0.0542 eV/atom



Li2LaZr | PBE-GGA | relaxed

```
4
Lattice="3.409 0.000 0.000 0.000 5.263 0.000 0.000 0.000 5.513" Properties=species:S:1:pos:R:3 pbc="T T T"
Zr 1.704 0.000 2.756
Li 0.000 0.000 0.000
Li 1.704 2.632 0.000
La 0.000 2.632 2.756
```

Formation energy from the elements: 26.86 kJ/mol of atoms
Distance to the lowest polymorph of the same formula: 0.1246 eV/atom